# TlCdGa2, optimized geometry, DFT PBE-GGA
data_TlCdGa2
_cell_length_a 3.602
_cell_length_b 3.602
_cell_length_c 7.213
_cell_angle_alpha 90.00
_cell_angle_beta 90.00
_cell_angle_gamma 90.00
_space_group_name_H-M_alt 'P 1'
_space_group_IT_number 1
_space_group_name_Hall 'P 1'
loop_
_atom_site_label
_atom_site_type_symbol
_atom_site_fract_x
_atom_site_fract_y
_atom_site_fract_z
Tl1 Tl 0.000 0.000 0.000
Cd1 Cd 0.000 0.000 0.500
Ga1 Ga 0.500 0.500 0.274
Ga2 Ga 0.500 0.500 0.726
# **Energy relative to the lowest polymorph listed for this composition**: 23 meV/atom
# **Symmetry**: P4/mmm (123)
# **Calculated volume**: 93.6 Å³/cell

# NbSN3, optimized geometry, DFT PBE-GGA
data_NbSN3
_cell_length_a 3.562
_cell_length_b 3.562
_cell_length_c 3.562
_cell_angle_alpha 90.00
_cell_angle_beta 90.00
_cell_angle_gamma 90.00
_space_group_name_H-M_alt 'P 1'
_space_group_IT_number 1
_space_group_name_Hall 'P 1'
loop_
_atom_site_label
_atom_site_type_symbol
_atom_site_fract_x
_atom_site_fract_y
_atom_site_fract_z
Nb1 Nb 0.000 0.000 0.000
S1 S 0.500 0.500 0.500
N1 N 0.000 0.500 0.500
N2 N 0.500 0.000 0.500
N3 N 0.500 0.500 0.000
# **Symmetry**: Pm-3m (221)
# **E_form (uncorrected)**: 1157 meV/atom
# **Calculated volume**: 45.2 Å³/cell

# CePClO4, optimized geometry, DFT PBE-GGA
data_CePClO4
_cell_length_a 6.037
_cell_length_b 6.037
_cell_length_c 6.554
_cell_angle_alpha 101.90
_cell_angle_beta 101.90
_cell_angle_gamma 70.72
_space_group_name_H-M_alt 'P 1'
_space_group_IT_number 1
_space_group_name_Hall 'P 1'
loop_
_atom_site_label
_atom_site_type_symbol
_atom_site_fract_x
_atom_site_fract_y
_atom_site_fract_z
Ce1 Ce 0.240 0.240 0.149
Ce2 Ce 0.760 0.760 0.851
P1 P 0.363 0.363 0.734
P2 P 0.637 0.637 0.266
Cl1 Cl 0.019 0.019 0.767
Cl2 Cl 0.981 0.981 0.233
O1 O 0.138 0.488 0.848
O2 O 0.288 0.288 0.498
O3 O 0.477 0.477 0.233
O4 O 0.488 0.138 0.848
O5 O 0.512 0.862 0.152
O6 O 0.523 0.523 0.767
O7 O 0.712 0.712 0.502
O8 O 0.862 0.512 0.152
# **Symmetry**: C2/m (12)
# **E_form (uncorrected)**: -2607 meV/atom
# **Calculated volume**: 218.2 Å³/cell